VP2SeO: optimized geometry, PBE+U.

## Properties
Density ... 4.21 Mg/m³
SG ... P4/mmm

The structure in POSCAR format:
```
VP2SeO
1.0
4.761 0.000 0.000
0.000 4.761 0.000
0.000 0.000 3.619
V P Se O
1 2 1 1
Direct
0.000 0.000 0.000
0.000 0.500 0.000
0.500 0.000 0.000
0.500 0.500 0.500
0.000 0.000 0.500
```

***

VP2SeO: optimized geometry, PBE+U.

## Properties
Density ... 4.00 Mg/m³
SG ... P4/mmm

The structure in POSCAR format:
```
VP2SeO
1.0
4.808 0.000 0.000
0.000 4.808 0.000
0.000 0.000 3.733
V P Se O
1 2 1 1
Direct
0.000 0.000 0.000
0.000 0.500 0.500
0.500 0.000 0.500
0.500 0.500 0.500
0.500 0.500 0.000
```

***

Number 1: magnetic moment 0.0 μB/f.u., total DFT energy (no corrections) -0.38890 Ry per atom. Number 2: magnetic moment 2.0 μB/f.u., total DFT energy (no corrections) -0.33898 Ry per atom.